No. 1
MnIrN2 | GGA-PBE | relaxed

a = 5.084 Å, b = 6.499 Å, c = 5.267 Å
α = 90.00°, β = 90.00°, γ = 90.00°
Element x y z (fractional)
Mn (0.124, 0.155, 0.000)
Mn (0.376, 0.655, 0.500)
Mn (0.624, 0.345, 0.000)
Mn (0.876, 0.845, 0.500)
Ir (0.070, 0.660, 0.917)
Ir (0.430, 0.160, 0.417)
Ir (0.570, 0.840, 0.917)
Ir (0.930, 0.340, 0.417)
N (0.057, 0.637, 0.315)
N (0.064, 0.061, 0.348)
N (0.436, 0.561, 0.848)
N (0.443, 0.137, 0.815)
N (0.557, 0.863, 0.315)
N (0.564, 0.439, 0.348)
N (0.936, 0.939, 0.848)
N (0.943, 0.363, 0.815)

Calculated values
Its space group is No. 33. The value obtained for the relative energy among the computed polymorphs is 46 kJ/mol of formula units. Its formation energy without anion corrections is 209 meV per atom.

No. 2
LiTh2ReO6 | GGA-PBE | relaxed

a = 5.343 Å, b = 5.350 Å, c = 5.356 Å
α = 66.14°, β = 66.24°, γ = 66.15°
Element x y z (fractional)
Li (0.000, 0.000, 0.000)
Th (0.250, 0.249, 0.248)
Th (0.750, 0.751, 0.752)
Re (0.500, 0.500, 0.500)
O (0.144, 0.359, 0.765)
O (0.239, 0.857, 0.641)
O (0.358, 0.764, 0.144)
O (0.642, 0.236, 0.856)
O (0.761, 0.143, 0.359)
O (0.856, 0.641, 0.235)

Calculated values
Its space group is No. 2. Its formation energy without anion corrections is -2643 meV per atom.

No. 3
CeTmCuPt | GGA-PBE | relaxed

a = 4.510 Å, b = 3.732 Å, c = 10.505 Å
α = 90.00°, β = 90.00°, γ = 90.00°
Element x y z (fractional)
Ce (0.000, 0.000, 0.000)
Ce (0.000, 0.500, 0.500)
Tm (0.500, 0.000, 0.278)
Tm (0.500, 0.500, 0.778)
Cu (0.500, 0.000, 0.559)
Cu (0.500, 0.500, 0.059)
Pt (0.000, 0.000, 0.721)
Pt (0.000, 0.500, 0.221)

Calculated values
Its space group is No. 38. The value obtained for the relative energy among the computed polymorphs is 0 kJ/mol of formula units.

No. 4
TcSnIr | GGA-PBE | relaxed

a = 9.346 Å, b = 3.007 Å, c = 7.397 Å
α = 90.00°, β = 99.33°, γ = 90.00°
Element x y z (fractional)
Tc (0.000, 0.000, 0.000)
Tc (0.227, 0.500, 0.183)
Tc (0.500, 0.500, 0.000)
Tc (0.727, 0.000, 0.183)
Sn (0.255, 0.000, 0.860)
Sn (0.456, 0.500, 0.612)
Sn (0.755, 0.500, 0.860)
Sn (0.956, 0.000, 0.612)
Ir (0.215, 0.000, 0.476)
Ir (0.466, 0.000, 0.285)
Ir (0.715, 0.500, 0.476)
Ir (0.966, 0.500, 0.285)

Calculated values
Its space group is No. 8. The value obtained for the relative energy among the computed polymorphs is 3 kJ/mol of formula units.

Across the entries above, E takes the values -8.461, -8.538, -5.838, -7.718 eV/atom, respectively.